This record from the Alexandria database describes a relaxed SrTbY2 crystal. The functional is PBE-GGA.

Computed properties:
Density of states at the Fermi level in states/eV/cell: 17.720
Offset from the most stable computed form in eV/atom: 0.0022
Total magnetization in μB/f.u.: 0.03
Electronic total energy in eV per cell: -56.272
ΔE_f in meV per atom: 121

a b c (Å): 3.6842 3.6842 36.5075
angles (deg): 90.00 90.00 120.00
Space group R3m (No. 160, hexagonal axes)
Symmetry-distinct sites (fractional):
Sr  0.0000  0.0000  0.0000 x3
Tb  0.0000  0.0000  0.8342 x3
Y  0.0000  0.0000  0.2443 x3
Y  0.0000  0.0000  0.4235 x3

This record from the Alexandria database describes a relaxed Sr2BeOs crystal. The functional is PBE-GGA.

Computed properties:
Density of states at the Fermi level in states/eV/cell: 2.373
Total magnetization in μB/f.u.: 0.00
Electronic total energy in eV per cell: -17.096
ΔE_f in meV per atom: 306

a b c (Å): 3.336 3.336 8.773
angles (deg): 90.00 90.00 90.00
Space group P4mm (No. 99)
Symmetry-distinct sites (fractional):
Sr  0.000  0.000  0.000 x1
Sr  0.500  0.500  0.424 x1
Be  0.000  0.000  0.687 x1
Os  0.500  0.500  0.746 x1

This record from the Alexandria database describes a relaxed Nd3Ho5In crystal. The functional is PBE-GGA.

Computed properties:
Density of states at the Fermi level in states/eV/cell: 50.571
Total magnetization in μB/f.u.: 0.00
Electronic total energy in eV per cell: -149.508
ΔE_f in meV per atom: 284

a b c (Å): 11.870 8.529 12.531
angles (deg): 90.00 96.45 90.00
Space group C2/m (No. 12)
Symmetry-distinct sites (fractional):
Nd  0.000  0.000  0.000 x2
Nd  0.000  0.000  0.500 x2
Nd  0.049  0.000  0.255 x4
Nd  0.163  0.500  0.544 x4
Ho  0.000  0.325  0.000 x4
Ho  0.046  0.500  0.254 x4
Ho  0.210  0.305  0.804 x8
Ho  0.248  0.500  0.050 x4
In  0.204  0.000  0.672 x4

This record from the Alexandria database describes a relaxed CaCdNi2Sb crystal. The functional is PBE-GGA.

Computed properties:
Density of states at the Fermi level in states/eV/cell: 6.570
Total magnetization in μB/f.u.: 0.83
Electronic total energy in eV per cell: -16.765
Energy relative to the elements, uncorrected in eV/atom: 0.37

a b c (Å): 4.785 4.785 5.885
angles (deg): 90.00 90.00 90.00
Space group P4/mmm (No. 123)
Symmetry-distinct sites (fractional):
Ca  0.000  0.000  0.000 x1
Cd  0.500  0.500  0.000 x1
Ni  0.000  0.500  0.500 x2
Sb  0.000  0.000  0.500 x1

This record from the Alexandria database describes a relaxed K2BI crystal. The functional is PBE-GGA.

Computed properties:
Density of states at the Fermi level in states/eV/cell: 0.000
Offset from the most stable computed form in eV/atom: 0.0000
Total magnetization in μB/f.u.: 2.00
Electronic total energy in eV per cell: -35.123
Energy relative to the elements, uncorrected in eV/atom: 0.41

a b c (Å): 8.955 8.955 7.965
angles (deg): 90.00 90.00 90.00
Space group I-42d (No. 122)
Symmetry-distinct sites (fractional):
K  0.214  0.750  0.125 x8
B  0.000  0.000  0.000 x4
I  0.000  0.000  0.500 x4

This record from the Alexandria database describes a relaxed Hf2In3 crystal. The functional is PBE-GGA.

Computed properties:
Density of states at the Fermi level in states/eV/cell: 7.708
Total magnetization in μB/f.u.: 0.00
Electronic total energy in eV per cell: -56.814
ΔE_f in meV per atom: -57

a b c (Å): 10.426 4.153 6.984
angles (deg): 90.00 132.02 90.00
Space group C2/m (No. 12)
Symmetry-distinct sites (fractional):
Hf  0.102  0.000  0.302 x4
In  0.000  0.500  0.500 x2
In  0.198  0.500  0.101 x4

This record from the Alexandria database describes a relaxed PuHgP crystal. The functional is PBE-GGA.

Computed properties:
Density of states at the Fermi level in states/eV/cell: 17.169
Total magnetization in μB/f.u.: 1.97
Electronic total energy in eV per cell: -82.247
ΔE_f in meV per atom: -173

a b c (Å): 3.654 17.500 4.043
angles (deg): 90.00 90.00 90.00
Space group Cmcm (No. 63)
Symmetry-distinct sites (fractional):
Pu  0.000  0.039  0.250 x4
Hg  0.000  0.291  0.750 x4
P  0.000  0.418  0.250 x4

This record from the Alexandria database describes a relaxed CaOs5 crystal. The functional is PBE-GGA.

Computed properties:
Density of states at the Fermi level in states/eV/cell: 14.448
Offset from the most stable computed form in eV/atom: 0.1028
Total magnetization in μB/f.u.: 0.00
Electronic total energy in eV per cell: -110.644
ΔE_f in meV per atom: 471

a b c (Å): 4.394 2.764 16.147
angles (deg): 90.00 90.00 90.00
Space group Amm2 (No. 38)
Symmetry-distinct sites (fractional):
Ca  0.000  0.000  0.000 x2
Os  0.000  0.000  0.326 x2
Os  0.000  0.000  0.683 x2
Os  0.500  0.000  0.230 x2
Os  0.500  0.000  0.587 x2
Os  0.500  0.000  0.874 x2

This record from the Alexandria database describes a relaxed AlSn2Pb crystal. The functional is PBE-GGA.

Computed properties:
Density of states at the Fermi level in states/eV/cell: 2.039
Offset from the most stable computed form in eV/atom: 0.0634
Total magnetization in μB/f.u.: 0.00
Electronic total energy in eV per cell: -14.743
ΔE_f in meV per atom: 178

a b c (Å): 4.849 4.849 4.519
angles (deg): 90.00 90.00 90.00
Space group P4/mmm (No. 123)
Symmetry-distinct sites (fractional):
Al  0.000  0.000  0.000 x1
Sn  0.000  0.500  0.500 x2
Pb  0.500  0.500  0.000 x1

This record from the Alexandria database describes a relaxed TbNdThN3 crystal. The functional is PBE-GGA.

Computed properties:
Density of states at the Fermi level in states/eV/cell: 5.670
Total magnetization in μB/f.u.: 0.00
Electronic total energy in eV per cell: -100.491
Energy relative to the elements, uncorrected in eV/atom: -1.41

a b c (Å): 6.171 3.591 9.257
angles (deg): 90.00 101.49 90.00
Space group P2_1/m (No. 11)
Symmetry-distinct sites (fractional):
Tb  0.149  0.250  0.134 x2
Nd  0.343  0.250  0.807 x2
Th  0.235  0.750  0.452 x2
N  0.040  0.750  0.653 x2
N  0.243  0.750  0.001 x2
N  0.455  0.250  0.338 x2

This record from the Alexandria database describes a relaxed DyErH2 crystal. The functional is PBE-GGA.

Computed properties:
Density of states at the Fermi level in states/eV/cell: 6.021
Offset from the most stable computed form in eV/atom: 0.0000
Total magnetization in μB/f.u.: 0.00
Electronic total energy in eV per cell: -53.845

a b c (Å): 3.6061 3.6061 17.5709
angles (deg): 90.00 90.00 120.00
Space group R-3m (No. 166, hexagonal axes)
Symmetry-distinct sites (fractional):
Dy  0.0000  0.0000  0.0000 x3
Er  0.0000  0.0000  0.5000 x3
H  0.0000  0.0000  0.1264 x6

This record from the Alexandria database describes a relaxed ZrCd2Tc crystal. The functional is PBE-GGA.

Computed properties:
Density of states at the Fermi level in states/eV/cell: 2.422
Offset from the most stable computed form in eV/atom: 0.1422
Total magnetization in μB/f.u.: 0.00
Electronic total energy in eV per cell: -20.182
ΔE_f in meV per atom: 141

a b c (Å): 2.913 4.679 5.699
angles (deg): 90.00 95.46 90.00
Space group Pm (No. 6)
Symmetry-distinct sites (fractional):
Zr  0.000  0.000  0.000 x1
Cd  0.557  0.000  0.522 x1
Cd  0.580  0.500  0.254 x1
Tc  0.197  0.500  0.763 x1

This record from the Alexandria database describes a relaxed CuAg5Au crystal. The functional is PBE-GGA.

Computed properties:
Density of states at the Fermi level in states/eV/cell: 4.370
Total magnetization in μB/f.u.: 0.00
Electronic total energy in eV per cell: -38.664
ΔE_f in meV per atom: 328

a b c (Å): 5.308 7.230 7.541
angles (deg): 90.00 90.00 90.00
Space group Imm2 (No. 44)
Symmetry-distinct sites (fractional):
Cu  0.000  0.000  0.000 x2
Ag  0.000  0.183  0.683 x4
Ag  0.000  0.500  0.140 x2
Ag  0.244  0.000  0.326 x4
Au  0.000  0.500  0.489 x2

This record from the Alexandria database describes a relaxed Hf3AgW crystal. The functional is PBE-GGA.

Computed properties:
Density of states at the Fermi level in states/eV/cell: 8.211
Offset from the most stable computed form in eV/atom: 0.6297
Total magnetization in μB/f.u.: 0.00
Electronic total energy in eV per cell: -37.660
ΔE_f in meV per atom: 1601

a b c (Å): 4.961 4.961 4.961
angles (deg): 90.00 90.00 90.00
Space group Pm-3m (No. 221)
Symmetry-distinct sites (fractional):
Hf  0.000  0.000  0.500 x3
Ag  0.000  0.000  0.000 x1
W  0.500  0.500  0.500 x1

This record from the Alexandria database describes a relaxed Na3Ho3SiO8 crystal. The functional is PBE-GGA.

Computed properties:
Density of states at the Fermi level in states/eV/cell: 0.000
Total magnetization in μB/f.u.: 0.00
Electronic total energy in eV per cell: -310.066
Energy relative to the elements, uncorrected in eV/atom: -2.71

a b c (Å): 6.5438 6.5438 16.5980
angles (deg): 90.00 90.00 120.00
Space group R-3m (No. 166, hexagonal axes)
Symmetry-distinct sites (fractional):
Na  0.0000  0.5000  0.0000 x9
Ho  0.0000  0.5000  0.5000 x9
Si  0.0000  0.0000  0.5000 x3
O  0.0000  0.0000  0.2369 x6
O  0.0536  0.5268  0.2289 x18

This record from the Alexandria database describes a relaxed Dy2PuThN4 crystal. The functional is PBE-GGA.

Computed properties:
Density of states at the Fermi level in states/eV/cell: 7.984
Total magnetization in μB/f.u.: 4.93
Electronic total energy in eV per cell: -76.575
Energy relative to the elements, uncorrected in eV/atom: -1.54

a b c (Å): 6.105 3.537 6.123
angles (deg): 90.00 109.67 90.00
Space group P2/m (No. 10)
Symmetry-distinct sites (fractional):
Dy  0.000  0.000  0.000 x1
Dy  0.500  0.500  0.000 x1
Pu  0.000  0.500  0.500 x1
Th  0.500  0.000  0.500 x1
N  0.243  0.000  0.747 x2
N  0.248  0.500  0.246 x2

This record from the Alexandria database describes a relaxed Pu2BiI crystal. The functional is PBE-GGA.

Computed properties:
Density of states at the Fermi level in states/eV/cell: 13.973
Offset from the most stable computed form in eV/atom: 0.0278
Total magnetization in μB/f.u.: 12.46
Electronic total energy in eV per cell: -35.980
Energy relative to the elements, uncorrected in eV/atom: -0.47

a b c (Å): 3.824 3.824 8.026
angles (deg): 90.00 90.00 90.00
Space group P4/mmm (No. 123)
Symmetry-distinct sites (fractional):
Pu  0.000  0.000  0.239 x2
Bi  0.500  0.500  0.000 x1
I  0.500  0.500  0.500 x1

This record from the Alexandria database describes a relaxed Na5Ho3Cl12 crystal. The functional is PBE-GGA.

Computed properties:
Density of states at the Fermi level in states/eV/cell: 60.567
Total magnetization in μB/f.u.: 1.91
Electronic total energy in eV per cell: -617.630
Energy relative to the elements, uncorrected in eV/atom: -1.74

a b c (Å): 15.997 15.997 15.997
angles (deg): 90.00 90.00 90.00
Space group Ia-3d (No. 230)
Symmetry-distinct sites (fractional):
Na  0.000  0.000  0.000 x16
Na  0.000  0.250  0.375 x24
Ho  0.000  0.250  0.125 x24
Cl  0.020  0.074  0.654 x96

This record from the Alexandria database describes a relaxed NpTlAuO6 crystal. The functional is PBE-GGA.

Computed properties:
Density of states at the Fermi level in states/eV/cell: 14.902
Total magnetization in μB/f.u.: 0.00
Electronic total energy in eV per cell: -117.828
Energy relative to the elements, uncorrected in eV/atom: -1.18

a b c (Å): 5.6536 5.6536 9.4025
angles (deg): 90.00 90.00 120.00
Space group P-31c (No. 163)
Symmetry-distinct sites (fractional):
Np  0.3333  0.6667  0.2500 x2
Tl  0.3333  0.6667  0.7500 x2
Au  0.0000  0.0000  0.0000 x2
O  0.0359  0.3636  0.1275 x12

This record from the Alexandria database describes a relaxed SrLiUS4 crystal. The functional is PBE-GGA.

Computed properties:
Density of states at the Fermi level in states/eV/cell: 9.848
Total magnetization in μB/f.u.: 1.00
Electronic total energy in eV per cell: -82.802
Energy relative to the elements, uncorrected in eV/atom: -1.43

a b c (Å): 6.473 6.272 8.162
angles (deg): 90.00 108.61 90.00
Space group P2_1/m (No. 11)
Symmetry-distinct sites (fractional):
Sr  0.248  0.250  0.443 x2
Li  0.260  0.750  0.180 x2
U  0.272  0.250  0.944 x2
S  0.028  0.750  0.907 x2
S  0.048  0.750  0.355 x2
S  0.476  0.511  0.784 x4

This record from the Alexandria database describes a relaxed ReIrBr2 crystal. The functional is PBE-GGA.

Computed properties:
Density of states at the Fermi level in states/eV/cell: 6.953
Offset from the most stable computed form in eV/atom: 1.3155
Total magnetization in μB/f.u.: 0.00
Electronic total energy in eV per cell: -36.785
Energy relative to the elements, uncorrected in eV/atom: 1.57

a b c (Å): 4.257 4.257 7.506
angles (deg): 90.00 90.00 90.00
Space group I4/mmm (No. 139)
Symmetry-distinct sites (fractional):
Re  0.000  0.000  0.000 x2
Ir  0.000  0.000  0.500 x2
Br  0.000  0.500  0.250 x4